Ac7Cd2Pb2 after structural relaxation. Source: Alexandria via LeMat-Bulk, functional PBE.

Cell: 7.526 8.517 7.526 Å, 90.00 110.46 90.00°
Positions (direct):
Cd1 0.283 0.000 0.717
Cd2 0.717 0.000 0.283
Pb1 0.181 0.500 0.181
Pb2 0.819 0.500 0.819
Ac1 0.500 0.290 0.000
Ac2 0.000 0.000 0.000
Ac3 0.500 0.242 0.500
Ac4 0.000 0.710 0.500
Ac5 0.500 0.710 0.000
Ac6 0.500 0.758 0.500
Ac7 0.000 0.290 0.500

Summary:
Electronic total energy, eV per atom: -3.50
ρ, g/cm³: 8.19

---

Ac2Cd2Pb after structural relaxation. Source: Alexandria via LeMat-Bulk, functional PBE.

Cell: 4.156 4.156 10.444 Å, 101.48 101.48 90.00°
Positions (direct):
Pb1 0.000 0.000 0.000
Ac1 0.397 0.397 0.794
Ac2 0.603 0.603 0.206
Cd1 0.250 0.750 0.500
Cd2 0.750 0.250 0.500

Summary:
Electronic total energy, eV per atom: -2.97
Energy above the most stable polymorph in this dataset, meV/atom: 133
ρ, g/cm³: 8.50

---

Ac5Cd4Pb after structural relaxation. Source: Alexandria via LeMat-Bulk, functional PBE.

Cell: 4.066 4.066 20.771 Å, 90.00 90.00 90.00°
Positions (direct):
Ac1 0.500 0.500 0.697
Ac2 0.500 0.500 0.104
Ac3 0.500 0.500 0.896
Ac4 0.500 0.500 0.500
Ac5 0.500 0.500 0.303
Cd1 0.000 0.000 0.401
Cd2 0.000 0.000 0.206
Cd3 0.000 0.000 0.794
Cd4 0.000 0.000 0.599
Pb1 0.000 0.000 0.000

Summary:
Electronic total energy, eV per atom: -3.12
ρ, g/cm³: 8.67

---

Ac3Cd6Pb5 after structural relaxation. Source: Alexandria via LeMat-Bulk, functional PBE.

Cell: 4.840 11.942 14.393 Å, 90.00 90.00 90.00°
Positions (direct):
Cd1 0.000 0.043 0.500
Cd2 0.000 0.624 0.365
Cd3 0.500 0.028 0.362
Cd4 0.500 0.028 0.638
Cd5 0.000 0.624 0.635
Cd6 0.500 0.560 0.000
Cd7 0.000 0.972 0.862
Cd8 0.000 0.440 0.500
Cd9 0.500 0.957 0.000
Cd10 0.500 0.376 0.135
Cd11 0.000 0.972 0.138
Cd12 0.500 0.376 0.865
Ac1 0.000 0.237 0.000
Ac2 0.000 0.252 0.686
Ac3 0.500 0.748 0.814
Ac4 0.000 0.252 0.314
Ac5 0.500 0.763 0.500
Ac6 0.500 0.748 0.186
Pb1 0.500 0.475 0.657
Pb2 0.000 0.763 0.000
Pb3 0.500 0.128 0.835
Pb4 0.000 0.525 0.157
Pb5 0.000 0.872 0.665
Pb6 0.500 0.475 0.343
Pb7 0.000 0.525 0.843
Pb8 0.500 0.128 0.165
Pb9 0.500 0.237 0.500
Pb10 0.000 0.872 0.335

Summary:
Electronic total energy, eV per atom: -2.89
ρ, g/cm³: 9.55

---

AcCdPb2 after structural relaxation. Source: Alexandria via LeMat-Bulk, functional PBE.

Cell: 4.069 4.069 7.619 Å, 90.00 90.00 90.00°
Positions (direct):
Cd1 0.500 0.500 0.000
Ac1 0.500 0.500 0.500
Pb1 0.000 0.000 0.788
Pb2 0.000 0.000 0.212

Summary:
Electronic total energy, eV per atom: -3.29
ρ, g/cm³: 9.92

---

Ac12Cd2Pb5 after structural relaxation. Source: Alexandria via LeMat-Bulk, functional PBE.

Cell: 8.332 10.323 10.555 Å, 98.76 90.00 113.80°
Positions (direct):
Pb1 0.294 0.589 0.636
Pb2 0.706 0.411 0.364
Pb3 0.000 0.000 0.500
Pb4 0.331 0.662 0.158
Pb5 0.669 0.338 0.842
Ac1 0.099 0.707 0.424
Ac2 0.016 0.031 0.823
Ac3 0.417 0.342 0.108
Ac4 0.608 0.707 0.424
Ac5 0.486 0.971 0.700
Ac6 0.901 0.293 0.576
Ac7 0.392 0.293 0.576
Ac8 0.925 0.342 0.108
Ac9 0.984 0.969 0.177
Ac10 0.583 0.658 0.892
Ac11 0.075 0.658 0.892
Ac12 0.514 0.029 0.300
Cd1 0.331 0.000 0.000
Cd2 0.669 0.000 0.000

Summary:
Electronic total energy, eV per atom: -3.87
ρ, g/cm³: 8.08

---

Ac4CdPb5 after structural relaxation. Source: Alexandria via LeMat-Bulk, functional PBE.

Cell: 4.878 6.885 10.946 Å, 102.15 102.88 90.00°
Positions (direct):
Pb1 0.500 0.500 0.000
Pb2 0.065 0.265 0.130
Pb3 0.727 0.842 0.453
Pb4 0.935 0.735 0.870
Pb5 0.273 0.158 0.547
Cd1 0.500 0.000 0.000
Ac1 0.323 0.679 0.647
Ac2 0.895 0.206 0.791
Ac3 0.677 0.321 0.353
Ac4 0.105 0.794 0.209

Summary:
Electronic total energy, eV per atom: -4.05
ρ, g/cm³: 9.76

---

Ac3Cd2Pb after structural relaxation. Source: Alexandria via LeMat-Bulk, functional PBE.

Cell: 4.050 4.050 12.662 Å, 90.00 90.00 90.00°
Positions (direct):
Pb1 0.500 0.500 0.500
Cd1 0.500 0.500 0.841
Cd2 0.500 0.500 0.159
Ac1 0.000 0.000 0.000
Ac2 0.000 0.000 0.673
Ac3 0.000 0.000 0.327

Summary:
Electronic total energy, eV per atom: -3.33
Energy above the most stable polymorph in this dataset, meV/atom: 11
ρ, g/cm³: 8.90

---

Ac4Cd2Pb after structural relaxation. Source: Alexandria via LeMat-Bulk, functional PBE.

Cell: 7.051 7.051 7.051 Å, 110.59 108.92 108.92°
Positions (direct):
Cd1 0.500 0.500 0.000
Cd2 0.500 0.000 0.500
Pb1 0.000 0.000 0.000
Ac1 0.500 0.000 0.000
Ac2 0.500 0.500 0.500
Ac3 0.000 0.000 0.500
Ac4 0.000 0.500 0.000

Summary:
Electronic total energy, eV per atom: -3.39
ρ, g/cm³: 8.25

---

Ac4CdPb12 after structural relaxation. Source: Alexandria via LeMat-Bulk, functional PBE.

Cell: 8.960 8.960 8.960 Å, 109.47 109.47 109.47°
Positions (direct):
Pb1 0.250 0.500 0.750
Pb2 0.500 0.250 0.750
Pb3 0.000 0.711 0.711
Pb4 0.289 0.289 0.000
Pb5 0.750 0.500 0.250
Pb6 0.711 0.711 0.000
Pb7 0.250 0.750 0.500
Pb8 0.711 0.000 0.711
Pb9 0.289 0.000 0.289
Pb10 0.000 0.289 0.289
Pb11 0.750 0.250 0.500
Pb12 0.500 0.750 0.250
Cd1 0.000 0.000 0.000
Ac1 0.500 0.000 0.000
Ac2 0.000 0.500 0.000
Ac3 0.000 0.000 0.500
Ac4 0.500 0.500 0.500

Summary:
Electronic total energy, eV per atom: -3.96
ρ, g/cm³: 10.51

---

Ac4Cd5Pb2 after structural relaxation. Source: Alexandria via LeMat-Bulk, functional PBE.

Cell: 4.088 8.388 10.698 Å, 95.92 90.00 90.00°
Positions (direct):
Cd1 0.000 0.191 0.156
Cd2 0.000 0.809 0.844
Cd3 0.000 0.544 0.288
Cd4 0.000 0.500 0.000
Cd5 0.000 0.456 0.712
Ac1 0.500 0.272 0.434
Ac2 0.500 0.819 0.111
Ac3 0.500 0.181 0.889
Ac4 0.500 0.728 0.566
Pb1 0.000 0.071 0.640
Pb2 0.000 0.929 0.360

Summary:
Electronic total energy, eV per atom: -2.85
ρ, g/cm³: 8.58

---

Ac6CdPb3 after structural relaxation. Source: Alexandria via LeMat-Bulk, functional PBE.

Cell: 8.044 10.222 10.222 Å, 108.38 90.00 90.00°
Positions (direct):
Pb1 0.306 0.458 0.542
Pb2 0.806 0.542 0.458
Pb3 0.443 0.270 0.016
Pb4 0.943 0.016 0.270
Pb5 0.443 0.984 0.730
Pb6 0.943 0.730 0.984
Ac1 0.089 0.765 0.677
Ac2 0.773 0.040 0.960
Ac3 0.589 0.677 0.765
Ac4 0.272 0.699 0.301
Ac5 0.736 0.885 0.482
Ac6 0.273 0.960 0.040
Ac7 0.589 0.235 0.323
Ac8 0.236 0.115 0.518
Ac9 0.772 0.301 0.699
Ac10 0.236 0.482 0.885
Ac11 0.089 0.323 0.235
Ac12 0.736 0.518 0.115
Cd1 0.598 0.844 0.156
Cd2 0.098 0.156 0.844

Summary:
Electronic total energy, eV per atom: -3.94
ρ, g/cm³: 8.73

---

Ac3CdPb after structural relaxation. Source: Alexandria via LeMat-Bulk, functional PBE.

Cell: 5.800 5.799 13.657 Å, 77.89 89.99 60.04°
Positions (direct):
Cd1 0.882 0.805 0.144
Cd2 0.806 0.956 0.915
Ac1 0.976 0.617 0.428
Ac2 0.537 0.496 0.108
Ac3 0.713 0.143 0.631
Ac4 0.152 0.265 0.951
Ac5 0.256 0.056 0.269
Ac6 0.432 0.704 0.790
Pb1 0.065 0.440 0.686
Pb2 0.624 0.321 0.373

Summary:
Electronic total energy, eV per atom: -3.67
ρ, g/cm³: 8.61

---

Ac4CdPb2 after structural relaxation. Source: Alexandria via LeMat-Bulk, functional PBE.

Cell: 6.750 7.477 11.102 Å, 90.00 105.60 90.00°
Positions (direct):
Ac1 0.501 0.513 0.256
Ac2 0.501 0.987 0.256
Ac3 0.499 0.487 0.744
Ac4 0.499 0.013 0.744
Ac5 0.860 0.250 0.530
Ac6 0.066 0.750 0.866
Ac7 0.934 0.250 0.134
Ac8 0.140 0.750 0.470
Pb1 0.380 0.250 0.994
Pb2 0.620 0.750 0.006
Pb3 0.694 0.750 0.547
Pb4 0.306 0.250 0.453
Cd1 0.966 0.250 0.831
Cd2 0.034 0.750 0.169

Summary:
Electronic total energy, eV per atom: -3.83
ρ, g/cm³: 8.83

---

AcCd2Pb3 after structural relaxation. Source: Alexandria via LeMat-Bulk, functional PBE.

Cell: 6.151 9.257 9.257 Å, 135.44 90.00 90.00°
Positions (direct):
Pb1 0.750 0.591 0.902
Pb2 0.750 0.143 0.857
Pb3 0.750 0.098 0.409
Pb4 0.250 0.857 0.143
Pb5 0.250 0.409 0.098
Pb6 0.250 0.902 0.591
Cd1 0.500 0.274 0.274
Cd2 0.000 0.274 0.274
Cd3 0.500 0.726 0.726
Cd4 0.000 0.726 0.726
Ac1 0.250 0.329 0.671
Ac2 0.750 0.671 0.329

Summary:
Electronic total energy, eV per atom: -3.01
ρ, g/cm³: 9.64

---

AcCd2Pb3 after structural relaxation. Source: Alexandria via LeMat-Bulk, functional PBE.

Cell: 6.922 8.753 8.753 Å, 45.51 78.60 78.60°
Positions (direct):
Pb1 0.088 0.327 0.327
Pb2 0.588 0.327 0.327
Pb3 0.912 0.673 0.673
Pb4 0.250 0.239 0.761
Pb5 0.750 0.761 0.239
Pb6 0.412 0.673 0.673
Cd1 0.580 0.841 0.839
Cd2 0.920 0.161 0.159
Cd3 0.080 0.839 0.841
Cd4 0.420 0.159 0.161
Ac1 0.750 0.260 0.740
Ac2 0.250 0.740 0.260

Summary:
Electronic total energy, eV per atom: -3.01
ρ, g/cm³: 9.65

---

AcCdPb2 after structural relaxation. Source: Alexandria via LeMat-Bulk, functional PBE.

Cell: 4.829 5.074 5.074 Å, 90.00 90.00 90.00°
Positions (direct):
Pb1 0.000 0.500 0.000
Pb2 0.000 0.000 0.500
Ac1 0.500 0.500 0.500
Cd1 0.500 0.000 0.000

Summary:
Electronic total energy, eV per atom: -3.48
ρ, g/cm³: 10.07

---

AcCd6Pb6 after structural relaxation. Source: Alexandria via LeMat-Bulk, functional PBE.

Cell: 6.014 8.404 8.404 Å, 87.07 69.03 69.03°
Positions (direct):
Cd1 0.500 0.780 0.220
Cd2 0.500 0.220 0.780
Cd3 0.000 0.500 0.000
Cd4 0.000 0.000 0.500
Cd5 0.500 0.000 0.500
Cd6 0.500 0.500 0.000
Ac1 0.000 0.000 0.000
Pb1 0.346 0.654 0.654
Pb2 0.000 0.649 0.351
Pb3 0.311 0.189 0.189
Pb4 0.689 0.811 0.811
Pb5 0.654 0.346 0.346
Pb6 0.000 0.351 0.649

Summary:
Electronic total energy, eV per atom: -2.52
ρ, g/cm³: 9.65

---

Ac5CdPb2 after structural relaxation. Source: Alexandria via LeMat-Bulk, functional PBE.

Cell: 8.868 8.868 10.103 Å, 116.03 116.03 90.00°
Positions (direct):
Cd1 0.750 0.750 0.500
Cd2 0.250 0.250 0.500
Ac1 0.685 0.185 0.702
Ac2 0.815 0.982 0.298
Ac3 0.315 0.815 0.298
Ac4 0.518 0.685 0.702
Ac5 0.482 0.315 0.298
Ac6 0.185 0.018 0.702
Ac7 0.500 0.500 0.000
Ac8 0.018 0.518 0.702
Ac9 0.000 0.000 0.000
Ac10 0.982 0.482 0.298
Pb1 0.366 0.866 0.000
Pb2 0.866 0.634 0.000
Pb3 0.134 0.366 0.000
Pb4 0.634 0.134 0.000

Summary:
Electronic total energy, eV per atom: -3.94
ρ, g/cm³: 8.86

---

Ac2Cd6Pb after structural relaxation. Source: Alexandria via LeMat-Bulk, functional PBE.

Cell: 6.487 6.694 6.694 Å, 60.04 90.02 90.02°
Positions (direct):
Cd1 0.657 0.633 0.184
Cd2 0.343 0.367 0.816
Cd3 0.343 0.816 0.367
Cd4 0.657 0.184 0.633
Cd5 0.343 0.817 0.817
Cd6 0.657 0.183 0.183
Ac1 0.842 0.667 0.667
Ac2 0.158 0.333 0.333
Pb1 0.000 0.000 0.000

Summary:
Electronic total energy, eV per atom: -2.20
ρ, g/cm³: 8.81